No. 1
Pm12Er2Sc | GGA-PBE | relaxed

Its space group is No. 125. The mass density is 6.6 g/cm³. As for the calculated formation energy: 0.344 eV/atom.

Unit cell a=6.5185 b=6.5185 c=25.0472 alpha=90.00 beta=90.00 gamma=90.00
Sites, in units of the cell vectors:
Pm 0.6846 0.1846 0.8914
Sc 0.5000 0.0000 0.0000
Er 0.5000 0.0000 0.2683
Pm 0.3154 0.1846 0.1086
Pm 0.8321 0.3321 0.5633
Er 0.5000 0.0000 0.7317
Pm 0.6679 0.1679 0.4367
Sc 0.0000 0.5000 0.0000
Pm 0.6679 0.8321 0.5633
Pm 0.5000 0.5000 0.3344
Pm 0.3321 0.8321 0.4367
Pm 0.1846 0.3154 0.8914
Pm 0.0000 0.0000 0.3344
Pm 0.8154 0.6846 0.8914
Pm 0.1846 0.6846 0.1086
Pm 0.0000 0.0000 0.7892
Pm 0.0000 0.0000 0.6656
Pm 0.3321 0.1679 0.5633
Pm 0.1679 0.3321 0.4367
Pm 0.0000 0.0000 0.2108
Pm 0.1679 0.6679 0.5633
Pm 0.6846 0.8154 0.1086
Pm 0.8321 0.6679 0.4367
Pm 0.5000 0.5000 0.6656
Pm 0.5000 0.5000 0.2108
Pm 0.5000 0.5000 0.7892
Pm 0.8154 0.3154 0.1086
Er 0.0000 0.5000 0.7317
Er 0.0000 0.5000 0.2683
Pm 0.3154 0.8154 0.8914

No. 2
RbLaTe2N | GGA-PBE | relaxed

Its space group is No. 123. The mass density is 4.4 g/cm³. Its uncorrected formation energy is -34.6 kJ per mole of atoms. As for the distance to the lowest polymorph of the same formula: 0 meV/atom.

Unit cell a=6.7722 b=6.7722 c=4.0544 alpha=90.00 beta=90.00 gamma=90.00
Sites, in units of the cell vectors:
La 0.0000 0.0000 0.0000
Te 0.5000 0.0000 0.0000
Te 0.0000 0.5000 0.0000
Rb 0.5000 0.5000 0.5000
N 0.0000 0.0000 0.5000

No. 3
Pa8Pt5Rh | GGA-PBE | relaxed

Its space group is No. 82. The mass density is 15.1 g/cm³. As for the calculated formation energy: -0.656 eV/atom.

Unit cell a=7.4875 b=7.4875 c=7.4875 alpha=110.76 beta=106.92 gamma=110.76
Sites, in units of the cell vectors:
Pt 0.9973 0.3522 0.1024
Pa 0.2784 0.2791 0.3909
Rh 0.2500 0.5000 0.7500
Pt 0.3549 0.1051 0.0027
Pt 0.8976 0.8949 0.2499
Pa 0.6091 0.8875 0.8882
Pa 0.0007 0.1125 0.7216
Pa 0.1009 0.7176 0.4819
Pt 0.5000 0.0000 0.5000
Pa 0.7643 0.2824 0.3833
Pa 0.5181 0.6189 0.2357
Pa 0.1118 0.7209 0.9993
Pt 0.7501 0.6478 0.6451
Pa 0.6167 0.3811 0.8991

No. 4
Th2Au3 | GGA-PBE | relaxed

Its space group is No. 63. The mass density is 14.3 g/cm³. As for the calculated formation energy: -0.655 eV/atom. As for the distance to the lowest polymorph of the same formula: 0 meV/atom.

Unit cell a=3.5735 b=4.7183 c=14.6097 alpha=90.00 beta=97.02 gamma=90.00
Sites, in units of the cell vectors:
Au 0.1196 0.2500 0.2393
Th 0.7077 0.2500 0.4155
Au 0.8804 0.7500 0.7607
Au 0.0244 0.2500 0.0488
Au 0.9756 0.7500 0.9512
Th 0.4282 0.2500 0.8564
Th 0.5718 0.7500 0.1436
Th 0.2923 0.7500 0.5845
Au 0.1764 0.7500 0.3528
Au 0.8236 0.2500 0.6472

No. 5
RbCeAuCl6 | GGA-PBE | relaxed

Its space group is No. 163. The mass density is 3.4 g/cm³. Its uncorrected formation energy is -146.4 kJ per mole of atoms.

Unit cell a=6.8854 b=6.8854 c=15.1679 alpha=90.00 beta=90.00 gamma=120.00
Sites, in units of the cell vectors:
Rb 0.0000 0.0000 0.0000
Cl 0.3655 0.0104 0.1463
Cl 0.3655 0.3551 0.3537
Cl 0.0104 0.3655 0.6463
Cl 0.0104 0.6449 0.8537
Ce 0.3333 0.6667 0.7500
Rb 0.0000 0.0000 0.5000
Cl 0.6345 0.6449 0.6463
Cl 0.6449 0.0104 0.3537
Cl 0.6345 0.9896 0.8537
Ce 0.6667 0.3333 0.2500
Cl 0.9896 0.3551 0.1463
Cl 0.9896 0.6345 0.3537
Cl 0.6449 0.6345 0.1463
Au 0.6667 0.3333 0.7500
Au 0.3333 0.6667 0.2500
Cl 0.3551 0.9896 0.6463
Cl 0.3551 0.3655 0.8537

No. 6
PrHo3Ga4 | GGA-PBE | relaxed

Its space group is No. 51. The mass density is 8.1 g/cm³. As for the calculated formation energy: -0.565 eV/atom.

Unit cell a=5.0905 b=7.1949 c=10.1824 alpha=90.00 beta=90.00 gamma=90.00
Sites, in units of the cell vectors:
Ga 0.9985 0.7604 0.7500
Ga 0.0015 0.2396 0.2500
Pr 0.0000 0.5000 0.5000
Ga 0.5000 0.7603 0.5000
Ga 0.0015 0.7604 0.2500
Ho 0.0000 0.0000 0.5000
Ga 0.5000 0.2397 0.0000
Ga 0.5000 0.2397 0.5000
Ho 0.4990 0.5000 0.7500
Pr 0.0000 0.5000 0.0000
Ho 0.0000 0.0000 0.0000
Ho 0.4988 0.0000 0.7500
Ga 0.5000 0.7603 0.0000
Ga 0.9985 0.2396 0.7500
Ho 0.5010 0.5000 0.2500
Ho 0.5012 0.0000 0.2500

Magnetic moment (computed, μB/f.u.): 0.00; 0.13; 0.00; 0.01; 0.04; 0.00